Compound: Ca5Mg2Cd12
Source: Alexandria via LeMat-Bulk
Functional: GGA-PBE
Structure: optimized geometry

Properties
Its energy relative to the elements is -232 meV/atom.

Geometry as extended XYZ:
```
19
Lattice="8.417 -3.918 0.000 8.417 3.918 0.000 -0.297 0.000 7.466" Properties=species:S:1:pos:R:3 pbc="T T T"
Ca 0.000 0.000 0.000
Ca 3.815 0.000 6.989
Ca 4.872 0.000 3.464
Ca 11.665 0.000 4.002
Ca 12.723 0.000 0.477
Mg 8.269 1.630 3.733
Mg 8.269 -1.630 3.733
Cd 5.736 2.412 5.583
Cd 1.573 0.000 4.471
Cd 6.504 1.526 1.156
Cd 10.801 2.412 1.883
Cd 10.034 1.526 6.310
Cd 7.340 0.000 6.084
Cd 9.198 0.000 1.381
Cd 6.504 -1.526 1.156
Cd 5.736 -2.412 5.583
Cd 10.034 -1.526 6.310
Cd 14.965 0.000 2.994
Cd 10.801 -2.412 1.883
```